[1]
Density functional theory data (PBE) for a relaxed structure of Er4AgRu2Au.

Lattice parameters (Å, degrees): 4.909 4.909 8.497 73.21 73.21 60.00
Atoms (fractional coordinates):
Er  0.375  0.375  0.874
Er  0.875  0.875  0.376
Er  0.125  0.125  0.624
Er  0.625  0.625  0.126
Ag  0.000  0.000  0.000
Ru  0.749  0.749  0.752
Ru  0.251  0.251  0.248
Au  0.500  0.500  0.500

Output
Space group: No. 166
Calculated formation energy, eV/atom: -0.5098
Fermi-level density of states, states/eV/cell: 4.0
Total DFT energy (no corrections), eV per cell: -47.01

---

[2]
Density functional theory data (PBE) for a relaxed structure of ErAgSbAu.

Lattice parameters (Å, degrees): 5.022 5.022 5.022 60.00 60.00 60.00
Atoms (fractional coordinates):
Sb  0.750  0.750  0.750
Au  0.250  0.250  0.250
Ag  0.000  0.000  0.000
Er  0.500  0.500  0.500

Output
Space group: No. 216
Fermi-level density of states, states/eV/cell: 0.5
Formation energy (no corrections), eV per atom: -0.491
Total DFT energy (no corrections), eV per cell: -16.78

---

[3]
Density functional theory data (PBE) for a relaxed structure of ErScAgAu.

Lattice parameters (Å, degrees): 4.956 4.956 4.956 60.00 60.00 60.00
Atoms (fractional coordinates):
Sc  0.500  0.500  0.500
Au  0.750  0.750  0.750
Ag  0.250  0.250  0.250
Er  0.000  0.000  0.000

Output
Distance to the lowest polymorph of the same formula, meV per atom: 11.5
Space group: No. 216
Calculated formation energy, eV/atom: -0.5617
Fermi-level density of states, states/eV/cell: 3.2
Total DFT energy (no corrections), eV per cell: -19.27

---

[4]
Density functional theory data (PBE) for a relaxed structure of ErScAgAu.

Lattice parameters (Å, degrees): 3.489 3.489 7.047 90.00 90.00 90.00
Atoms (fractional coordinates):
Er  0.500  0.500  0.602
Sc  0.500  0.500  0.111
Ag  0.000  0.000  0.876
Au  0.000  0.000  0.338

Output
Distance to the lowest polymorph of the same formula, meV per atom: 0.0
Space group: No. 99
Calculated formation energy, eV/atom: -0.5732
Fermi-level density of states, states/eV/cell: 2.3
Total DFT energy (no corrections), eV per cell: -19.32

---

[5]
Density functional theory data (PBE) for a relaxed structure of SmErAgAu.

Lattice parameters (Å, degrees): 3.603 3.603 7.401 90.00 90.00 90.00
Atoms (fractional coordinates):
Sm  0.500  0.500  0.602
Er  0.500  0.500  0.113
Ag  0.000  0.000  0.875
Au  0.000  0.000  0.338

Output
Distance to the lowest polymorph of the same formula, meV per atom: 0.0
Space group: No. 99
Calculated formation energy, eV/atom: -0.5817
Fermi-level density of states, states/eV/cell: 2.1
Total DFT energy (no corrections), eV per cell: -17.74

---

[6]
Density functional theory data (PBE) for a relaxed structure of SmErAgAu.

Lattice parameters (Å, degrees): 5.145 5.145 5.145 60.00 60.00 60.00
Atoms (fractional coordinates):
Au  0.250  0.250  0.250
Ag  0.750  0.750  0.750
Sm  0.000  0.000  0.000
Er  0.500  0.500  0.500

Output
Distance to the lowest polymorph of the same formula, meV per atom: 15.4
Space group: No. 216
Calculated formation energy, eV/atom: -0.5663
Fermi-level density of states, states/eV/cell: 3.0
Total DFT energy (no corrections), eV per cell: -17.68